First-principles (PBE) data for CdTeO2 after structural relaxation, as listed in the Alexandria database.

The structure in CIF format:
```
data_CdTeO2
_symmetry_space_group_name_H-M 'F m -3 m'
_symmetry_Int_Tables_number 225
_symmetry_space_group_name_Hall '-F 4 2 3'
_cell_length_a 6.132
_cell_length_b 6.132
_cell_length_c 6.132
_cell_angle_alpha 90.00
_cell_angle_beta 90.00
_cell_angle_gamma 90.00
loop_
_atom_site_label
_atom_site_fract_x
_atom_site_fract_y
_atom_site_fract_z
Cd1 0.000 0.000 0.000
Te1 0.000 0.000 0.500
O1 0.250 0.250 0.250
```

## Properties
The calculation puts the uncorrected formation energy at -0.03 eV/atom. The calculation puts the density of states at the Fermi level at 8.66 states/eV per cell. The offset from the most stable computed form is 771 meV per atom. The theoretical density comes out at 7.836 g cm⁻³.